Entry 1:
The following is a PBEsol calculation of crystalline ZnCd2Ir at its relaxed geometry, from Alexandria.

Its formation energy is 0.126 eV per atom.

It has space group P2/m (No. 10), with a = 2.9749 Å, b = 4.0163 Å, c = 5.5557 Å, α = 90.00°, β = 90.14° and γ = 90.00°. The distinct sites, in fractional coordinates, are Zn at (0.0000, 0.0000, 0.0000), Cd at (0.4992, 0.5000, 0.2545) and Ir at (0.0000, 0.0000, 0.5000).



Entry 2:
The following is a PBEsol calculation of crystalline LiNdP4N8 at its relaxed geometry, from Alexandria.

The energy is -449.501 eV/cell.

It has space group Pnma (No. 62), with a = 8.7209 Å, b = 7.8662 Å, c = 9.1132 Å, α = 90.00°, β = 90.00° and γ = 90.00°. The distinct sites, in fractional coordinates, are Li at (0.0533, 0.2500, 0.0670), Nd at (0.0872, 0.7500, 0.5866), P at (0.0697, 0.5624, 0.1913), P at (0.2303, 0.5588, 0.9194), N at (0.0238, 0.7500, 0.1371), N at (0.0776, 0.5669, 0.8171), N at (0.1274, 0.5582, 0.3611), N at (0.1965, 0.2500, 0.4216) and N at (0.1980, 0.0272, 0.0804).